No. 1
An optimized crystal structure of Y2ScRe2, computed with PBE.

Lattice parameters (Å, degrees): 7.1259 7.1259 4.5320 90.00 90.00 90.00
Closest atoms and distances in Å follow each position.
Fractional positions:
Re  0.8809  0.6191  0.0000  1 Re 2.40
Re  0.1191  0.3809  0.0000  1 Re 2.40
Re  0.6191  0.1191  0.0000  1 Re 2.40
Re  0.3809  0.8809  0.0000  1 Re 2.40
Y  0.3257  0.1743  0.5000  6 Re 3.08-3.11
Y  0.8257  0.3257  0.5000  6 Re 3.08-3.11
Y  0.6743  0.8257  0.5000  6 Re 3.08-3.11
Y  0.1743  0.6743  0.5000  6 Re 3.08-3.11
Sc  0.5000  0.5000  0.0000  4 Re 2.84
Sc  0.0000  0.0000  0.0000  4 Re 2.84

Fermi-level density of states in states/eV/cell: 17.57
Total DFT energy (no corrections) in eV/atom: -8.656

No. 2
An optimized crystal structure of Er2In3Sn3, computed with PBE.

Lattice parameters (Å, degrees): 4.8362 4.5942 9.1046 90.00 90.00 90.00
Closest atoms and distances in Å follow each position.
Fractional positions:
In  0.5000  0.0000  0.0000  4 In 3.21, 4 Er 3.33, 4 Sn 3.34
In  0.5000  0.5000  0.7537  2 In 3.21, 6 Sn 3.26-3.34, 4 Er 3.34
In  0.5000  0.5000  0.2463  2 In 3.21, 6 Sn 3.26-3.34, 4 Er 3.34
Sn  0.0000  0.5000  0.5000  4 Er 3.23, 4 Sn 3.34, 4 In 3.34
Sn  0.5000  0.0000  0.5000  4 In 3.26, 4 Er 3.32, 4 Sn 3.34
Sn  0.0000  0.5000  0.0000  4 Er 3.24, 8 In 3.30-3.34
Er  0.0000  0.0000  0.7491  6 Sn 3.23-3.32, 6 In 3.33-3.34
Er  0.0000  0.0000  0.2509  6 Sn 3.23-3.32, 6 In 3.33-3.34

Fermi-level density of states in states/eV/cell: 3.76
Total DFT energy (no corrections) in eV/atom: -4.056

Number 1: size of the total moment 1.5 μB/cell. Number 2: size of the total moment 0.0 μB/cell.